1.
{"formula": "Ac2Pr2Nd4Y", "functional": "PBE", "state": "relaxed", "formation_energy_ev_per_atom": 0.0273, "density_g_cm3": 6.91, "lattice_angstrom": [[3.789, 0.000, 0.000], [-1.895, 9.754, -0.490], [0.000, -3.918, 9.304]], "species": ["Nd", "Y", "Ac", "Nd", "Ac", "Pr", "Pr", "Nd", "Nd"], "fractional_positions": [[0.184, 0.368, 0.331], [0.000, 0.000, 0.000], [0.146, 0.291, 0.665], [0.816, 0.632, 0.669], [0.854, 0.709, 0.335], [0.665, 0.329, 0.003], [0.335, 0.671, 0.997], [0.482, 0.963, 0.680], [0.518, 0.037, 0.320]]}

=====

2.
{"formula": "LiPuTlCl6", "functional": "PBE", "state": "relaxed", "raw_formation_energy_ev_per_fu": -14.276, "density_g_cm3": 3.92, "lattice_angstrom": [[6.785, 0.000, 0.000], [-3.392, 5.876, 0.000], [0.000, 0.000, 14.193]], "species": ["Cl", "Cl", "Tl", "Cl", "Cl", "Cl", "Li", "Cl", "Tl", "Pu", "Li", "Cl", "Cl", "Cl", "Cl", "Cl", "Cl", "Pu"], "fractional_positions": [[0.634, 0.001, 0.354], [0.001, 0.634, 0.854], [0.000, 0.000, 0.500], [0.366, 0.367, 0.854], [0.001, 0.367, 0.646], [0.367, 0.001, 0.146], [0.333, 0.667, 0.250], [0.367, 0.366, 0.354], [0.000, 0.000, 0.000], [0.667, 0.333, 0.250], [0.667, 0.333, 0.750], [0.633, 0.634, 0.646], [0.633, 0.999, 0.854], [0.999, 0.366, 0.146], [0.999, 0.633, 0.354], [0.366, 0.999, 0.646], [0.634, 0.633, 0.146], [0.333, 0.667, 0.750]]}

=====

3.
{"formula": "SiIr2F", "functional": "PBE", "state": "relaxed", "relative_energy_mev_per_atom": 0, "raw_formation_energy_ev_per_fu": -1.166, "density_g_cm3": 14.28, "lattice_angstrom": [[0.000, 2.928, 2.928], [2.928, 0.000, 2.928], [2.928, 2.928, 0.000]], "species": ["Ir", "Ir", "Si", "F"], "fractional_positions": [[0.250, 0.250, 0.250], [0.750, 0.750, 0.750], [0.500, 0.500, 0.500], [0.000, 0.000, 0.000]]}

=====

4.
{"formula": "NaHgBiAu", "functional": "PBE", "state": "relaxed", "formation_energy_ev_per_atom": -0.1319, "density_g_cm3": 10.69, "lattice_angstrom": [[-0.956, 3.473, 3.711], [-4.731, 2.033, 0.482], [-2.966, -1.281, 4.039]], "species": ["Bi", "Hg", "Na", "Au"], "fractional_positions": [[0.250, 0.250, 0.250], [0.500, 0.500, 0.500], [0.750, 0.750, 0.750], [0.000, 0.000, 0.000]]}

=====

5.
{"formula": "NdTaB", "functional": "PBE", "state": "relaxed", "formation_energy_ev_per_atom": -0.0477, "density_g_cm3": 8.70, "lattice_angstrom": [[3.812, 0.000, 0.000], [0.000, 3.812, 0.000], [0.000, 0.000, 8.831]], "species": ["B", "Nd", "Nd", "B", "Ta", "Ta"], "fractional_positions": [[0.000, 0.500, 0.330], [0.500, 0.000, 0.187], [0.000, 0.500, 0.813], [0.500, 0.000, 0.670], [0.000, 0.000, 0.500], [0.500, 0.500, 0.500]]}

=====

6.
{"formula": "LaTmPu2", "functional": "PBE", "state": "relaxed", "relative_energy_mev_per_atom": 0, "formation_energy_ev_per_atom": 0.1930, "density_g_cm3": 11.13, "lattice_angstrom": [[-0.531, 3.339, -0.640], [-2.994, -0.766, -1.513], [-4.694, 0.943, 8.813]], "species": ["Tm", "La", "Pu", "Pu"], "fractional_positions": [[0.500, 0.500, 0.500], [0.500, 0.500, 0.000], [0.000, 0.000, 0.256], [0.000, 0.000, 0.744]]}

=====

7.
{"formula": "TaRe3Ag", "functional": "PBE", "state": "relaxed", "relative_energy_mev_per_atom": 0, "formation_energy_ev_per_atom": 2.3654, "density_g_cm3": 12.98, "lattice_angstrom": [[4.768, 0.000, 0.000], [0.000, 4.768, 0.000], [0.000, 0.000, 4.768]], "species": ["Ag", "Re", "Ta", "Re", "Re"], "fractional_positions": [[0.500, 0.500, 0.500], [0.000, 0.000, 0.500], [0.000, 0.000, 0.000], [0.500, 0.000, 0.000], [0.000, 0.500, 0.000]]}

=====

8.
{"formula": "Ba3PrRu2O9", "functional": "PBE", "state": "relaxed", "relative_energy_mev_per_atom": 0, "raw_formation_energy_ev_per_fu": -32.081, "density_g_cm3": 6.35, "lattice_angstrom": [[-0.513, -5.694, -1.868], [5.325, 2.086, 1.863], [-3.215, -4.309, 14.016]], "species": ["Ru", "O", "Ba", "O", "O", "O", "O", "O", "O", "Ba", "O", "Ba", "O", "Ba", "O", "O", "Ru", "Ba", "O", "Ru", "Ru", "O", "O", "O", "Pr", "O", "O", "Ba", "O", "Pr"], "fractional_positions": [[0.333, 0.667, 0.333], [0.509, 0.017, 0.750], [0.000, 0.000, 0.750], [0.643, 0.822, 0.406], [0.178, 0.822, 0.094], [0.017, 0.509, 0.250], [0.822, 0.178, 0.906], [0.822, 0.178, 0.594], [0.509, 0.491, 0.750], [0.333, 0.667, 0.895], [0.491, 0.509, 0.250], [0.333, 0.667, 0.605], [0.178, 0.357, 0.094], [0.667, 0.333, 0.395], [0.357, 0.178, 0.906], [0.491, 0.983, 0.250], [0.667, 0.333, 0.833], [0.000, 0.000, 0.250], [0.178, 0.357, 0.406], [0.333, 0.667, 0.167], [0.667, 0.333, 0.667], [0.822, 0.643, 0.594], [0.178, 0.822, 0.406], [0.357, 0.178, 0.594], [0.000, 0.000, 0.500], [0.822, 0.643, 0.906], [0.983, 0.491, 0.750], [0.667, 0.333, 0.105], [0.643, 0.822, 0.094], [0.000, 0.000, 0.000]]}

=====

9.
{"formula": "TlPtF2", "functional": "PBE", "state": "relaxed", "relative_energy_mev_per_atom": 239, "raw_formation_energy_ev_per_fu": -2.909, "density_g_cm3": 11.04, "lattice_angstrom": [[-1.464, 3.477, 1.515], [-3.059, -0.123, -2.673], [-6.652, -2.443, 4.634]], "species": ["Pt", "Tl", "F", "Pt", "Tl", "F", "F", "F"], "fractional_positions": [[0.500, 0.500, 0.000], [0.750, 0.250, 0.500], [0.875, 0.826, 0.750], [0.250, 0.750, 0.500], [0.000, 0.000, 0.000], [0.576, 0.125, 0.250], [0.174, 0.625, 0.250], [0.375, 0.424, 0.750]]}

=====

10.
{"formula": "TlSnBrF2", "functional": "PBE", "state": "relaxed", "relative_energy_mev_per_atom": 99, "raw_formation_energy_ev_per_fu": -7.990, "density_g_cm3": 5.34, "lattice_angstrom": [[4.694, 0.000, 0.000], [0.000, 4.694, 0.000], [0.000, 0.000, 6.222]], "species": ["Br", "F", "F", "Tl", "Sn"], "fractional_positions": [[0.000, 0.000, 0.500], [0.500, 0.000, 0.000], [0.000, 0.500, 0.000], [0.500, 0.500, 0.500], [0.000, 0.000, 0.000]]}

=====

11.
{"formula": "MgTcS2", "functional": "PBE", "state": "relaxed", "raw_formation_energy_ev_per_fu": -1.326, "density_g_cm3": 3.91, "lattice_angstrom": [[1.967, 0.000, 7.886], [-0.983, 1.703, 7.886], [-0.983, -1.703, 7.886]], "species": ["S", "Tc", "S", "Mg"], "fractional_positions": [[0.893, 0.893, 0.893], [0.500, 0.500, 0.500], [0.107, 0.107, 0.107], [0.000, 0.000, 0.000]]}

=====

12.
{"formula": "MnSi2As", "functional": "PBE", "state": "relaxed", "raw_formation_energy_ev_per_fu": 0.404, "density_g_cm3": 5.22, "lattice_angstrom": [[-1.732, 2.008, -1.120], [-2.239, -1.117, 1.460], [1.431, 4.284, 5.469]], "species": ["As", "Mn", "Si", "Si"], "fractional_positions": [[0.000, 0.000, 0.569], [0.500, 0.500, 0.788], [0.000, 0.000, 0.960], [0.500, 0.500, 0.183]]}